Entry i
MnMoRu: relaxed, PBEsol.

Output
The density of states at the Fermi level is 1.27 states/eV/atom. The calculation puts the magnetization at 1.04 μB/cell.

Cell and atoms, written as CIF:
```
data_MnMoRu
_symmetry_space_group_name_H-M 'P 3 m 1'
_symmetry_Int_Tables_number 156
_symmetry_space_group_name_Hall 'P 3 -2"'
_cell_length_a 2.6512
_cell_length_b 2.6512
_cell_length_c 6.5357
_cell_angle_alpha 90.00
_cell_angle_beta 90.00
_cell_angle_gamma 120.00
loop_
_atom_site_label
_atom_site_type_symbol
_atom_site_fract_x
_atom_site_fract_y
_atom_site_fract_z
Mn1 Mn 0.0000 0.0000 0.0000
Mo1 Mo 0.3333 0.6667 0.6618
Ru1 Ru 0.6667 0.3333 0.3046
```

Entry ii
MnMoRu: relaxed, PBEsol.

Output
The density of states at the Fermi level is 1.00 states/eV/atom. The calculation puts the magnetization at 0.00 μB/cell.

Cell and atoms, written as CIF:
```
data_MnMoRu
_symmetry_space_group_name_H-M 'F -4 3 m'
_symmetry_Int_Tables_number 216
_symmetry_space_group_name_Hall 'F -4 2 3'
_cell_length_a 5.611
_cell_length_b 5.611
_cell_length_c 5.611
_cell_angle_alpha 90.00
_cell_angle_beta 90.00
_cell_angle_gamma 90.00
loop_
_atom_site_label
_atom_site_type_symbol
_atom_site_fract_x
_atom_site_fract_y
_atom_site_fract_z
Mn1 Mn 0.000 0.000 0.000
Mo1 Mo 0.250 0.250 0.250
Ru1 Ru 0.250 0.250 0.750
```

In order of decreasing stability: entry i, entry ii.

Entry i
SrMnMo2: relaxed, PBEsol.

Output
The density of states at the Fermi level is 1.06 states/eV/atom. The calculation puts the magnetization at 1.28 μB/cell.

Cell and atoms, written as CIF:
```
data_SrMnMo2
_symmetry_space_group_name_H-M 'R -3 m'
_symmetry_Int_Tables_number 166
_symmetry_space_group_name_Hall '-R 3 2"'
_cell_length_a 2.9497
_cell_length_b 2.9497
_cell_length_c 27.8082
_cell_angle_alpha 90.00
_cell_angle_beta 90.00
_cell_angle_gamma 120.00
loop_
_atom_site_label
_atom_site_type_symbol
_atom_site_fract_x
_atom_site_fract_y
_atom_site_fract_z
Sr1 Sr 0.0000 0.0000 0.0000
Mn1 Mn 0.0000 0.0000 0.5000
Mo1 Mo 0.0000 0.0000 0.2314
```

Entry ii
SrMnMo2: relaxed, PBEsol.

Output
The density of states at the Fermi level is 1.08 states/eV/atom. The calculation puts the magnetization at 4.77 μB/cell.

Cell and atoms, written as CIF:
```
data_SrMnMo2
_symmetry_space_group_name_H-M 'C m m 2'
_symmetry_Int_Tables_number 35
_symmetry_space_group_name_Hall 'C 2 -2'
_cell_length_a 3.330
_cell_length_b 4.592
_cell_length_c 9.311
_cell_angle_alpha 90.00
_cell_angle_beta 90.00
_cell_angle_gamma 90.00
loop_
_atom_site_label
_atom_site_type_symbol
_atom_site_fract_x
_atom_site_fract_y
_atom_site_fract_z
Sr1 Sr 0.000 0.000 0.000
Mn1 Mn 0.000 0.500 0.288
Mo1 Mo 0.000 0.000 0.486
Mo2 Mo 0.000 0.500 0.703
```

In order of decreasing stability: entry ii, entry i.

Entry i
SrMnMo2: relaxed, PBEsol.

Output
The density of states at the Fermi level is 1.15 states/eV/atom. The calculation puts the magnetization at 0.66 μB/cell.

Cell and atoms, written as CIF:
```
data_SrMnMo2
_symmetry_space_group_name_H-M 'P 1 m 1'
_symmetry_Int_Tables_number 6
_symmetry_space_group_name_Hall 'P -2y'
_cell_length_a 2.923
_cell_length_b 4.035
_cell_length_c 6.791
_cell_angle_alpha 90.00
_cell_angle_beta 102.19
_cell_angle_gamma 90.00
loop_
_atom_site_label
_atom_site_type_symbol
_atom_site_fract_x
_atom_site_fract_y
_atom_site_fract_z
Sr1 Sr 0.000 0.000 0.000
Mn1 Mn 0.802 0.500 0.333
Mo1 Mo 0.265 0.500 0.643
Mo2 Mo 0.539 0.000 0.471
```

Entry ii
SrMnMo2: relaxed, PBEsol.

Output
The density of states at the Fermi level is 1.27 states/eV/atom. The calculation puts the magnetization at 2.00 μB/cell.

Cell and atoms, written as CIF:
```
data_SrMnMo2
_symmetry_space_group_name_H-M 'P 4/m m m'
_symmetry_Int_Tables_number 123
_symmetry_space_group_name_Hall '-P 4 2'
_cell_length_a 4.959
_cell_length_b 4.959
_cell_length_c 2.808
_cell_angle_alpha 90.00
_cell_angle_beta 90.00
_cell_angle_gamma 90.00
loop_
_atom_site_label
_atom_site_type_symbol
_atom_site_fract_x
_atom_site_fract_y
_atom_site_fract_z
Sr1 Sr 0.000 0.000 0.000
Mn1 Mn 0.500 0.500 0.000
Mo1 Mo 0.000 0.500 0.500
```

Entry iii
SrMnMo2: relaxed, PBEsol.

Output
The density of states at the Fermi level is 1.20 states/eV/atom. The calculation puts the magnetization at 0.77 μB/cell.

Cell and atoms, written as CIF:
```
data_SrMnMo2
_symmetry_space_group_name_H-M 'I m m 2'
_symmetry_Int_Tables_number 44
_symmetry_space_group_name_Hall 'I 2 -2'
_cell_length_a 2.993
_cell_length_b 5.005
_cell_length_c 9.389
_cell_angle_alpha 90.00
_cell_angle_beta 90.00
_cell_angle_gamma 90.00
loop_
_atom_site_label
_atom_site_type_symbol
_atom_site_fract_x
_atom_site_fract_y
_atom_site_fract_z
Sr1 Sr 0.000 0.000 0.000
Mn1 Mn 0.000 0.500 0.768
Mo1 Mo 0.000 0.000 0.448
Mo2 Mo 0.000 0.500 0.213
```

In order of decreasing stability: entry i, entry iii, entry ii.

Entry i
Mn2TcMo: relaxed, PBEsol.

Output
The density of states at the Fermi level is 1.30 states/eV/atom. The calculation puts the magnetization at 12.71 μB/cell.

Cell and atoms, written as CIF:
```
data_Mn2TcMo
_symmetry_space_group_name_H-M 'F m -3 m'
_symmetry_Int_Tables_number 225
_symmetry_space_group_name_Hall '-F 4 2 3'
_cell_length_a 5.915
_cell_length_b 5.915
_cell_length_c 5.915
_cell_angle_alpha 90.00
_cell_angle_beta 90.00
_cell_angle_gamma 90.00
loop_
_atom_site_label
_atom_site_type_symbol
_atom_site_fract_x
_atom_site_fract_y
_atom_site_fract_z
Mn1 Mn 0.250 0.250 0.250
Tc1 Tc 0.000 0.000 0.000
Mo1 Mo 0.000 0.000 0.500
```

Entry ii
Mn2TcMo: relaxed, PBEsol.

Output
The density of states at the Fermi level is 1.19 states/eV/atom. The calculation puts the magnetization at 2.85 μB/cell.

Cell and atoms, written as CIF:
```
data_Mn2TcMo
_symmetry_space_group_name_H-M 'P m m m'
_symmetry_Int_Tables_number 47
_symmetry_space_group_name_Hall '-P 2 2'
_cell_length_a 2.821
_cell_length_b 3.225
_cell_length_c 5.635
_cell_angle_alpha 90.00
_cell_angle_beta 90.00
_cell_angle_gamma 90.00
loop_
_atom_site_label
_atom_site_type_symbol
_atom_site_fract_x
_atom_site_fract_y
_atom_site_fract_z
Mn1 Mn 0.000 0.000 0.248
Tc1 Tc 0.500 0.500 0.000
Mo1 Mo 0.500 0.500 0.500
```

In order of decreasing stability: entry i, entry ii.

Entry i
MnMoW2: relaxed, PBEsol.

Output
The density of states at the Fermi level is 0.71 states/eV/atom. The calculation puts the magnetization at 3.00 μB/cell.

Cell and atoms, written as CIF:
```
data_MnMoW2
_symmetry_space_group_name_H-M 'C m m m'
_symmetry_Int_Tables_number 65
_symmetry_space_group_name_Hall '-C 2 2'
_cell_length_a 3.128
_cell_length_b 4.358
_cell_length_c 8.495
_cell_angle_alpha 90.00
_cell_angle_beta 90.00
_cell_angle_gamma 90.00
loop_
_atom_site_label
_atom_site_type_symbol
_atom_site_fract_x
_atom_site_fract_y
_atom_site_fract_z
Mn1 Mn 0.000 0.000 0.000
Mo1 Mo 0.000 0.000 0.500
W1 W 0.000 0.500 0.236
```

Entry ii
MnMoW2: relaxed, PBEsol.

Output
The density of states at the Fermi level is 0.87 states/eV/atom. The calculation puts the magnetization at 0.75 μB/cell.

Cell and atoms, written as CIF:
```
data_MnMoW2
_symmetry_space_group_name_H-M 'P 4/m m m'
_symmetry_Int_Tables_number 123
_symmetry_space_group_name_Hall '-P 4 2'
_cell_length_a 3.079
_cell_length_b 3.079
_cell_length_c 6.065
_cell_angle_alpha 90.00
_cell_angle_beta 90.00
_cell_angle_gamma 90.00
loop_
_atom_site_label
_atom_site_type_symbol
_atom_site_fract_x
_atom_site_fract_y
_atom_site_fract_z
Mn1 Mn 0.000 0.000 0.000
Mo1 Mo 0.000 0.000 0.500
W1 W 0.500 0.500 0.241
```

In order of decreasing stability: entry i, entry ii.

Entry i
MnMoW2: relaxed, PBEsol.

Output
The density of states at the Fermi level is 0.70 states/eV/atom. The calculation puts the magnetization at 3.06 μB/cell.

Cell and atoms, written as CIF:
```
data_MnMoW2
_symmetry_space_group_name_H-M 'C m m 2'
_symmetry_Int_Tables_number 35
_symmetry_space_group_name_Hall 'C 2 -2'
_cell_length_a 3.132
_cell_length_b 4.354
_cell_length_c 8.500
_cell_angle_alpha 90.00
_cell_angle_beta 90.00
_cell_angle_gamma 90.00
loop_
_atom_site_label
_atom_site_type_symbol
_atom_site_fract_x
_atom_site_fract_y
_atom_site_fract_z
Mn1 Mn 0.000 0.000 0.000
Mo1 Mo 0.000 0.500 0.234
W1 W 0.000 0.000 0.498
W2 W 0.000 0.500 0.764
```

Entry ii
MnMoW2: relaxed, PBEsol.

Output
The density of states at the Fermi level is 0.98 states/eV/atom. The calculation puts the magnetization at 3.82 μB/cell.

Cell and atoms, written as CIF:
```
data_MnMoW2
_symmetry_space_group_name_H-M 'I -4 m 2'
_symmetry_Int_Tables_number 119
_symmetry_space_group_name_Hall 'I -4 -2'
_cell_length_a 3.708
_cell_length_b 3.708
_cell_length_c 8.572
_cell_angle_alpha 90.00
_cell_angle_beta 90.00
_cell_angle_gamma 90.00
loop_
_atom_site_label
_atom_site_type_symbol
_atom_site_fract_x
_atom_site_fract_y
_atom_site_fract_z
Mn1 Mn 0.000 0.000 0.000
Mo1 Mo 0.000 0.500 0.250
W1 W 0.000 0.000 0.500
W2 W 0.000 0.500 0.750
```

In order of decreasing stability: entry i, entry ii.

Entry i
ZrMn2Mo: relaxed, PBEsol.

Output
The density of states at the Fermi level is 0.42 states/eV/atom. The calculation puts the magnetization at 0.00 μB/cell.

Cell and atoms, written as CIF:
```
data_ZrMn2Mo
_symmetry_space_group_name_H-M 'P 4/m m m'
_symmetry_Int_Tables_number 123
_symmetry_space_group_name_Hall '-P 4 2'
_cell_length_a 4.298
_cell_length_b 4.298
_cell_length_c 3.028
_cell_angle_alpha 90.00
_cell_angle_beta 90.00
_cell_angle_gamma 90.00
loop_
_atom_site_label
_atom_site_type_symbol
_atom_site_fract_x
_atom_site_fract_y
_atom_site_fract_z
Zr1 Zr 0.000 0.000 0.000
Mn1 Mn 0.000 0.500 0.500
Mo1 Mo 0.500 0.500 0.000
```

Entry ii
ZrMn2Mo: relaxed, PBEsol.

Output
The density of states at the Fermi level is 1.00 states/eV/atom. The calculation puts the magnetization at 0.00 μB/cell.

Cell and atoms, written as CIF:
```
data_ZrMn2Mo
_symmetry_space_group_name_H-M 'R -3 m'
_symmetry_Int_Tables_number 166
_symmetry_space_group_name_Hall '-R 3 2"'
_cell_length_a 2.9454
_cell_length_b 2.9454
_cell_length_c 23.2985
_cell_angle_alpha 90.00
_cell_angle_beta 90.00
_cell_angle_gamma 120.00
loop_
_atom_site_label
_atom_site_type_symbol
_atom_site_fract_x
_atom_site_fract_y
_atom_site_fract_z
Zr1 Zr 0.0000 0.0000 0.0000
Mn1 Mn 0.0000 0.0000 0.2433
Mo1 Mo 0.0000 0.0000 0.5000
```

In order of decreasing stability: entry i, entry ii.

Entry i
MnReN2: relaxed, PBEsol.

Output
The density of states at the Fermi level is 0.76 states/eV/atom. The calculation puts the magnetization at 1.29 μB/cell.

Cell and atoms, written as CIF:
```
data_MnReN2
_symmetry_space_group_name_H-M 'R -3 m'
_symmetry_Int_Tables_number 166
_symmetry_space_group_name_Hall '-R 3 2"'
_cell_length_a 2.6476
_cell_length_b 2.6476
_cell_length_c 19.1565
_cell_angle_alpha 90.00
_cell_angle_beta 90.00
_cell_angle_gamma 120.00
loop_
_atom_site_label
_atom_site_type_symbol
_atom_site_fract_x
_atom_site_fract_y
_atom_site_fract_z
Mn1 Mn 0.0000 0.0000 0.0000
Re1 Re 0.0000 0.0000 0.5000
N1 N 0.0000 0.0000 0.3956
```

Entry ii
MnReN2: relaxed, PBEsol.

Output
The density of states at the Fermi level is 0.48 states/eV/atom. The calculation puts the magnetization at 0.00 μB/cell.

Cell and atoms, written as CIF:
```
data_MnReN2
_symmetry_space_group_name_H-M 'P n a 21'
_symmetry_Int_Tables_number 33
_symmetry_space_group_name_Hall 'P 2c -2n'
_cell_length_a 5.030
_cell_length_b 5.978
_cell_length_c 5.342
_cell_angle_alpha 90.00
_cell_angle_beta 90.00
_cell_angle_gamma 90.00
loop_
_atom_site_label
_atom_site_type_symbol
_atom_site_fract_x
_atom_site_fract_y
_atom_site_fract_z
Mn1 Mn 0.071 0.114 0.000
Re1 Re 0.122 0.672 0.887
N1 N 0.061 0.587 0.533
N2 N 0.079 0.135 0.642
```

In order of decreasing stability: entry ii, entry i.